[1]
As2H2PbO6 (PBE, optimized geometry); density of states at the Fermi level = 0.00 states/eV/f.u.; energy = -60.96 eV/cell; space-group type = P-1 (2)
1.0
-4.3498 3.6320 -1.6353
-4.8506 -0.8738 0.7415
2.6152 4.5508 4.3933
As H O Pb
2 2 6 1
direct
0.9672 0.8430 0.0913
0.0328 0.1570 0.9087
0.6089 0.4780 0.7817
0.3911 0.5220 0.2183
0.0307 0.4873 0.8233
0.6367 0.2023 0.2656
0.2612 0.7743 0.2208
0.7388 0.2257 0.7792
0.9693 0.5127 0.1767
0.3633 0.7977 0.7344
0.5000 0.0000 0.5000

=====

[2]
Pr12MgCd6 (PBE, optimized geometry); energy of formation = -0.11 eV/atom; density of states at the Fermi level = 23.67 states/eV/f.u.; space-group type = R-3 (148)
1.0
-6.0689 -3.8066 -5.9037
8.1813 -4.3714 -0.3661
-3.3610 0.0424 8.6532
Cd Pr Mg
6 12 1
direct
0.0493 0.5693 0.3589
0.5693 0.3589 0.0493
0.6411 0.9507 0.4307
0.9507 0.4307 0.6411
0.3589 0.0493 0.5693
0.4307 0.6411 0.9507
0.2018 0.3129 0.4689
0.8191 0.2627 0.8916
0.8916 0.8191 0.2627
0.7982 0.6871 0.5311
0.3129 0.4689 0.2018
0.7373 0.1084 0.1809
0.6871 0.5311 0.7982
0.1084 0.1809 0.7373
0.4689 0.2018 0.3129
0.5311 0.7982 0.6871
0.2627 0.8916 0.8191
0.1809 0.7373 0.1084
0.0000 0.0000 0.0000

=====

[3]
GdPuCdBi (PBE, optimized geometry); energy of formation = -0.33 eV/atom; density of states at the Fermi level = 12.41 states/eV/f.u.; space-group type = F-43m (216)
1.0
5.4313 0.0000 0.0000
2.7156 4.7036 0.0000
2.7156 1.5679 4.4346
Cd Bi Gd Pu
1 1 1 1
direct
0.7500 0.7500 0.7500
0.2500 0.2500 0.2500
0.0000 0.0000 0.0000
0.5000 0.5000 0.5000

=====

[4]
K2SnGeI6 (PBE, optimized geometry); energy = -56.82 eV/cell; space-group type = P2_1/c (14)
1.0
8.1887 0.0000 -0.0365
0.0000 8.6435 0.0000
0.0199 0.0000 11.8602
K I Ge Sn
4 12 2 2
direct
0.0320 0.9147 0.2484
0.4680 0.4147 0.2516
0.5320 0.5853 0.7484
0.9680 0.0853 0.7516
0.8907 0.5236 0.2429
0.3154 0.7036 0.4466
0.3907 0.9764 0.7429
0.6846 0.2964 0.5534
0.1846 0.2036 0.0534
0.1093 0.4764 0.7571
0.3016 0.6902 0.0529
0.8016 0.8098 0.5529
0.6984 0.3098 0.9471
0.6093 0.0236 0.2571
0.8154 0.7964 0.9466
0.1984 0.1902 0.4471
0.5000 0.0000 0.5000
0.0000 0.5000 0.0000
0.0000 0.5000 0.5000
0.5000 0.0000 0.0000